Entry 1
Density functional theory data (PBE) for an optimized crystal structure of Sr2Sn5Pd3.

## Properties
density	7.6	g/cm³
crystal system	orthorhombic

Cell: 4.658 27.289 7.521 Å, 90.00 90.00 90.00°
Space group Cmc2_1 (No. 36)
Unique sites:
Sr1 0.000 0.023 0.000 [4 per cell]
Sr2 0.000 0.325 0.972 [4 per cell]
Sn1 0.000 0.097 0.626 [4 per cell]
Sn2 0.000 0.205 0.170 [4 per cell]
Sn3 0.000 0.209 0.759 [4 per cell]
Sn4 0.000 0.380 0.502 [4 per cell]
Sn5 0.000 0.449 0.833 [4 per cell]
Pd1 0.000 0.108 0.259 [4 per cell]
Pd2 0.000 0.278 0.463 [4 per cell]
Pd3 0.000 0.448 0.213 [4 per cell]



Entry 2
Density functional theory data (PBE) for an optimized crystal structure of Sr2Sn5Pd3.

## Properties
density	7.3	g/cm³
crystal system	orthorhombic

Cell: 11.374 13.093 6.624 Å, 90.00 90.00 90.00°
Space group Ibam (No. 72)
Unique sites:
Sr1 0.234 0.141 0.000 [8 per cell]
Sn1 0.000 0.000 0.250 [4 per cell]
Sn2 0.000 0.270 0.250 [8 per cell]
Sn3 0.159 0.407 0.000 [8 per cell]
Pd1 0.000 0.500 0.250 [4 per cell]
Pd2 0.112 0.136 0.500 [8 per cell]



Name the most stable of them. entry 2.



Entry 1
Density functional theory data (PBE) for an optimized crystal structure of SrSn8Pd2.

## Properties
density	7.1	g/cm³
crystal system	monoclinic

Cell: 8.824 13.556 4.920 Å, 90.00 98.27 90.00°
Space group C2/m (No. 12)
Unique sites:
Sr1 0.000 0.000 0.000 [2 per cell]
Sn1 0.000 0.251 0.000 [4 per cell]
Sn2 0.112 0.500 0.802 [4 per cell]
Sn3 0.201 0.142 0.593 [8 per cell]
Pd1 0.000 0.332 0.500 [4 per cell]



Entry 2
Density functional theory data (PBE) for an optimized crystal structure of SrSn8Pd2.

## Properties
density	5.9	g/cm³
crystal system	tetragonal

Cell: 6.482 6.482 8.308 Å, 90.00 90.00 90.00°
Space group P4/mmm (No. 123)
Unique sites:
Sr1 0.000 0.000 0.000 [1 per cell]
Sn1 0.256 0.256 0.306 [8 per cell]
Pd1 0.000 0.500 0.500 [2 per cell]



Name the most stable of them. entry 1.